Entry from the Alexandria database: LaCeAlSn after structural relaxation (GGA-PBE).

Values from the calculation:
SG = F-43m (216)
ΔE_f = -0.41 eV/atom

Unit cell a=5.429 b=5.429 c=5.429 alpha=60.00 beta=60.00 gamma=60.00
Site moments in Bohr magnetons follow the coordinates.
Atoms (fractional coordinates):
Al  0.750  0.750  0.750  0.01
Sn  0.250  0.250  0.250  0.01
Ce  0.000  0.000  0.000  0.91
La  0.500  0.500  0.500  0.07